{
  "formula": "KTiTlO4",
  "functional": "PBE",
  "state": "relaxed",
  "raw_formation_energy_kj_per_mol_atoms": -175.9,
  "total_magnetization_mub_per_fu": 0.00,
  "lattice_angstrom": [[-4.526, 2.565, 2.918], [-3.753, -4.305, -2.037], [3.112, -4.841, 4.499]],
  "species": ["K", "K", "Ti", "Ti", "Tl", "Tl", "O", "O", "O", "O", "O", "O", "O", "O"],
  "frac_coords": [[0.724, 0.750, 0.950], [0.276, 0.250, 0.050], [0.295, 0.750, 0.359], [0.705, 0.250, 0.641], [0.828, 0.750, 0.465], [0.172, 0.250, 0.535], [0.932, 0.480, 0.684], [0.068, 0.980, 0.316], [0.068, 0.520, 0.316], [0.932, 0.020, 0.684], [0.503, 0.750, 0.214], [0.497, 0.250, 0.786], [0.468, 0.750, 0.599], [0.532, 0.250, 0.401]]
}

***

{
  "formula": "TiP",
  "functional": "PBE",
  "state": "relaxed",
  "n_ef_per_ev_cell": 2.9,
  "formation_energy_mev_per_atom": -1135,
  "total_magnetization_mub_per_fu": 0.00,
  "lattice_angstrom": [[-1.033, 2.005, -2.669], [1.461, -3.113, -0.617], [-5.405, -2.569, 0.162]],
  "species": ["P", "P", "Ti", "Ti"],
  "frac_coords": [[0.667, 0.333, 0.750], [0.333, 0.667, 0.250], [0.000, 0.000, 0.000], [0.000, 0.000, 0.500]]
}

***

{
  "formula": "KCl",
  "functional": "PBE",
  "state": "relaxed",
  "raw_formation_energy_kj_per_mol_atoms": -176.6,
  "n_ef_per_ev_cell": 0.0,
  "total_magnetization_mub_per_fu": 0.09,
  "lattice_angstrom": [[-1.385, -3.736, -3.448], [4.354, -0.585, 2.911], [-13.437, -11.443, 17.797]],
  "species": ["K", "K", "K", "K", "K", "K", "Cl", "Cl", "Cl", "Cl", "Cl", "Cl"],
  "frac_coords": [[0.000, 0.000, 0.214], [0.000, 0.000, 0.786], [0.333, 0.667, 0.561], [0.333, 0.667, 0.092], [0.667, 0.333, 0.908], [0.667, 0.333, 0.439], [0.000, 0.000, 0.088], [0.000, 0.000, 0.912], [0.333, 0.667, 0.436], [0.333, 0.667, 0.216], [0.667, 0.333, 0.784], [0.667, 0.333, 0.564]]
}

***

{
  "formula": "Pm4Y10Ho",
  "functional": "PBE",
  "state": "relaxed",
  "n_ef_per_ev_cell": 23.7,
  "formation_energy_mev_per_atom": 753,
  "total_magnetization_mub_per_fu": 0.00,
  "lattice_angstrom": [[-1.332, 3.568, 6.751], [-8.886, -0.958, 3.203], [1.643, -5.405, 7.631]],
  "species": ["Pm", "Pm", "Pm", "Pm", "Y", "Y", "Y", "Y", "Y", "Y", "Y", "Y", "Y", "Y", "Ho"],
  "frac_coords": [[0.399, 0.802, 0.400], [0.799, 0.600, 0.802], [0.201, 0.400, 0.198], [0.601, 0.198, 0.600], [0.250, 0.500, 0.500], [0.653, 0.298, 0.900], [0.049, 0.100, 0.298], [0.447, 0.900, 0.702], [0.851, 0.702, 0.100], [0.347, 0.702, 0.100], [0.750, 0.500, 0.500], [0.149, 0.298, 0.900], [0.553, 0.100, 0.298], [0.951, 0.900, 0.702], [0.000, 0.000, 0.000]]
}

***

{
  "formula": "Rb3VCl8",
  "functional": "PBE",
  "state": "relaxed",
  "raw_formation_energy_kj_per_mol_atoms": -111.5,
  "n_ef_per_ev_cell": 19.2,
  "relative_energy_kcal_per_mol_atoms": 6.60,
  "total_magnetization_mub_per_fu": 0.31,
  "lattice_angstrom": [[7.338, 0.000, 0.000], [0.000, 7.338, 0.000], [-3.669, -3.669, 7.159]],
  "species": ["Rb", "Rb", "Rb", "V", "Cl", "Cl", "Cl", "Cl", "Cl", "Cl", "Cl", "Cl"],
  "frac_coords": [[0.750, 0.250, 0.500], [0.500, 0.500, 0.000], [0.250, 0.750, 0.500], [0.000, 0.000, 0.000], [0.308, 0.308, 0.208], [0.308, 0.901, 0.208], [0.099, 0.692, 0.792], [0.099, 0.099, 0.792], [0.901, 0.901, 0.208], [0.901, 0.308, 0.208], [0.692, 0.099, 0.792], [0.692, 0.692, 0.792]]
}

***

{
  "formula": "LaZrTl2",
  "functional": "PBE",
  "state": "relaxed",
  "n_ef_per_ev_cell": 2.9,
  "formation_energy_mev_per_atom": 61,
  "total_magnetization_mub_per_fu": 0.00,
  "lattice_angstrom": [[-6.784, -8.552, -1.754], [-4.539, -10.071, 0.445], [-7.213, -8.206, 1.692]],
  "species": ["La", "Tl", "Tl", "Zr"],
  "frac_coords": [[0.755, 0.755, 0.755], [0.995, 0.995, 0.995], [0.247, 0.247, 0.247], [0.503, 0.503, 0.503]]
}

***

no.,DFT total energy (eV per atom)
1,-6.279
2,-7.787
3,-3.302
4,-5.129
5,-3.389
6,-4.491